## CaAc2MnO5 (PBE with a Hubbard U)

Data for a relaxed CaAc2MnO5 crystal.

Structure (POSCAR):
```
CaAc2MnO5
1.0
7.086 0.000 0.000
0.000 7.086 0.000
0.000 0.000 5.838
Ca Ac Mn O
2 4 2 10
Cartesian
0.000 0.000 0.000
3.543 3.543 0.000
1.243 2.300 2.919
2.300 5.844 2.919
4.786 1.243 2.919
5.844 4.786 2.919
0.000 3.543 0.000
3.543 0.000 0.000
0.000 0.000 2.919
0.964 4.507 1.354
0.964 4.507 4.484
2.579 0.964 1.354
2.579 0.964 4.484
3.543 3.543 2.919
4.507 6.122 1.354
4.507 6.122 4.484
6.122 2.579 1.354
6.122 2.579 4.484
```

**Calculated density**: 7.13 g/cm³
**D(E_F)**: 0.00 states/eV/f.u.
**Calculated volume**: 293.2 Å³/cell
**M_tot**: 3.0 μB/f.u.
**Total DFT energy (no corrections)**: -7.287 eV per atom